# 1
Here is a geometry-optimized Zr2CrSnBr structure from Alexandria. Energies are from PBE.

Structure (POSCAR):
```
Zr2CrSnBr
1.0
5.448 0.000 0.000
0.000 5.448 0.000
0.000 0.000 5.352
Zr Cr Sn Br
2 1 1 1
Direct
0.000 0.500 0.000 Zr
0.500 0.000 0.000 Zr
0.000 0.000 0.500 Cr
0.500 0.500 0.000 Sn
0.500 0.500 0.500 Br
```

**Total DFT energy (no corrections)**: -4.7205 eV per atom
**Symmetry**: No. 123

=====

# 2
Here is a geometry-optimized Sr2CrBr structure from Alexandria. Energies are from PBE.

Structure (POSCAR):
```
Sr2CrBr
1.0
3.987 0.000 0.000
0.000 6.181 0.000
-0.007 0.000 6.178
Sr Cr Br
2 1 1
Direct
0.000 0.000 0.000 Sr
0.003 0.500 0.500 Sr
0.502 0.500 0.000 Cr
0.030 0.000 0.500 Br
```

**Polymorph energy (0 for the lowest one)**: 79 meV per atom
**Total DFT energy (no corrections)**: -3.8819 eV per atom
**Symmetry**: No. 6

=====

# 3
Here is a geometry-optimized SrCr3Br structure from Alexandria. Energies are from PBE.

Structure (POSCAR):
```
SrCr3Br
1.0
5.197 0.000 0.000
0.000 5.197 0.000
0.000 0.000 5.197
Sr Cr Br
1 3 1
Direct
0.000 0.000 0.000 Sr
0.000 0.500 0.500 Cr
0.500 0.000 0.500 Cr
0.500 0.500 0.000 Cr
0.500 0.500 0.500 Br
```

**Total DFT energy (no corrections)**: -5.3994 eV per atom
**Symmetry**: No. 221

=====

# 4
Here is a geometry-optimized Sr2CrBr6 structure from Alexandria. Energies are from PBE.

Structure (POSCAR):
```
Sr2CrBr6
1.0
6.902 0.000 0.000
0.000 8.231 0.000
-6.802 0.000 9.868
Sr Cr Br
4 2 12
Direct
0.216 0.117 0.260 Sr
0.216 0.383 0.760 Sr
0.784 0.617 0.240 Sr
0.784 0.883 0.740 Sr
0.500 0.000 0.000 Cr
0.500 0.500 0.500 Cr
0.132 0.154 0.945 Br
0.132 0.346 0.445 Br
0.269 0.677 0.940 Br
0.269 0.823 0.440 Br
0.376 0.029 0.757 Br
0.376 0.471 0.257 Br
0.624 0.529 0.743 Br
0.624 0.971 0.243 Br
0.731 0.177 0.560 Br
0.731 0.323 0.060 Br
0.868 0.654 0.555 Br
0.868 0.846 0.055 Br
```

**Total DFT energy (no corrections)**: -4.1692 eV per atom
**Symmetry**: No. 14

=====

# 5
Here is a geometry-optimized Sr2CrBr structure from Alexandria. Energies are from PBE.

Structure (POSCAR):
```
Sr2CrBr
1.0
8.255 0.000 0.000
0.000 8.255 0.000
0.000 0.000 8.255
Sr Cr Br
8 4 4
Direct
0.250 0.250 0.250 Sr
0.250 0.250 0.750 Sr
0.250 0.750 0.250 Sr
0.250 0.750 0.750 Sr
0.750 0.250 0.250 Sr
0.750 0.250 0.750 Sr
0.750 0.750 0.250 Sr
0.750 0.750 0.750 Sr
0.000 0.000 0.000 Cr
0.000 0.500 0.500 Cr
0.500 0.000 0.500 Cr
0.500 0.500 0.000 Cr
0.000 0.000 0.500 Br
0.000 0.500 0.000 Br
0.500 0.000 0.000 Br
0.500 0.500 0.500 Br
```

**Polymorph energy (0 for the lowest one)**: 224 meV per atom
**Total DFT energy (no corrections)**: -3.7371 eV per atom
**Symmetry**: No. 225

=====

# 6
Here is a geometry-optimized Sr2CrBr structure from Alexandria. Energies are from PBE.

Structure (POSCAR):
```
Sr2CrBr
1.0
4.205 0.000 0.000
0.000 3.981 0.000
-0.070 0.000 9.029
Sr Cr Br
2 1 1
Direct
0.003 0.000 0.223 Sr
0.997 0.000 0.777 Sr
0.500 0.500 0.000 Cr
0.000 0.500 0.500 Br
```

**Polymorph energy (0 for the lowest one)**: 0 meV per atom
**Total DFT energy (no corrections)**: -3.9608 eV per atom
**Symmetry**: No. 10

=====

# 7
Here is a geometry-optimized SrCrBr structure from Alexandria. Energies are from PBE.

Structure (POSCAR):
```
SrCrBr
1.0
5.033 0.000 0.000
-2.517 4.359 0.000
0.000 0.000 3.968
Sr Cr Br
1 1 1
Direct
0.000 0.000 0.000 Sr
0.333 0.667 0.500 Cr
0.667 0.333 0.500 Br
```

**Polymorph energy (0 for the lowest one)**: 85 meV per atom
**Total DFT energy (no corrections)**: -4.3654 eV per atom
**Symmetry**: No. 187

=====

# 8
Here is a geometry-optimized SrCrBr structure from Alexandria. Energies are from PBE.

Structure (POSCAR):
```
SrCrBr
1.0
7.568 0.000 0.000
0.000 7.568 0.000
0.000 0.000 7.568
Sr Cr Br
4 4 4
Direct
0.000 0.000 0.000 Sr
0.000 0.500 0.500 Sr
0.500 0.000 0.500 Sr
0.500 0.500 0.000 Sr
0.250 0.250 0.250 Cr
0.250 0.750 0.750 Cr
0.750 0.250 0.750 Cr
0.750 0.750 0.250 Cr
0.000 0.000 0.500 Br
0.000 0.500 0.000 Br
0.500 0.000 0.000 Br
0.500 0.500 0.500 Br
```

**Polymorph energy (0 for the lowest one)**: 374 meV per atom
**Total DFT energy (no corrections)**: -4.0765 eV per atom
**Symmetry**: No. 216